(1)
A geometry-optimized Pa5H12W3 structure, computed with PBE.

Results
Magnetization, μB/f.u.: 0.00
DFT total energy, eV per atom: -6.207

a = 10.4299 Å, b = 10.4299 Å, c = 10.4299 Å
α = 109.47°, β = 109.47°, γ = 109.47°
With the nearest neighbours (Å) after each atom.
Positions (direct):
H: 0.1771 0.4384 0.0818  1 H 1.67
H: 0.0818 0.9384 0.1771  1 H 1.67
H: 0.6771 0.0954 0.2388  1 H 1.67
H: 0.0954 0.4182 0.8566  1 H 1.67
H: 0.4384 0.1771 0.5818  1 H 1.67
H: 0.4384 0.2612 0.3566  1 H 1.67
H: 0.6771 0.5818 0.9384  1 H 1.67
H: 0.6434 0.4046 0.5818  1 H 1.67
H: 0.9182 0.0616 0.8229  1 H 1.67
H: 0.0818 0.1434 0.4046  1 H 1.67
H: 0.2388 0.6434 0.0616  1 H 1.67
H: 0.4182 0.0954 0.3566  1 H 1.67
H: 0.5954 0.3566 0.9182  1 H 1.67
H: 0.3566 0.7612 0.4384  1 H 1.67
H: 0.5818 0.9046 0.6434  1 H 1.67
H: 0.1771 0.7388 0.5954  1 H 1.67
H: 0.9046 0.5818 0.1434  1 H 1.67
H: 0.3229 0.4182 0.0616  1 H 1.67
H: 0.7612 0.4046 0.3229  1 H 1.67
H: 0.5954 0.2388 0.1771  1 H 1.67
H: 0.8229 0.2612 0.4046  1 H 1.67
H: 0.9046 0.3229 0.2612  1 H 1.67
H: 0.7388 0.1771 0.0954  1 H 1.67
H: 0.2612 0.4384 0.8566  1 H 1.67
H: 0.4182 0.3229 0.5616  1 H 1.67
H: 0.9384 0.8566 0.7612  1 H 1.67
H: 0.9384 0.0818 0.6771  1 H 1.67
H: 0.0954 0.6771 0.7388  1 H 1.67
H: 0.8229 0.5616 0.9182  1 H 1.67
H: 0.8566 0.9182 0.0954  1 H 1.67
H: 0.3566 0.5954 0.4182  1 H 1.67
H: 0.1434 0.0818 0.9046  1 H 1.67
H: 0.9182 0.8566 0.5954  1 H 1.67
H: 0.4046 0.7612 0.8229  1 H 1.67
H: 0.4046 0.6434 0.0818  1 H 1.67
H: 0.6434 0.2388 0.5616  1 H 1.67
H: 0.5616 0.7388 0.6434  1 H 1.67
H: 0.8566 0.9384 0.2612  1 H 1.67
H: 0.5616 0.8229 0.4182  1 H 1.67
H: 0.1434 0.0616 0.7388  1 H 1.67
H: 0.7388 0.5616 0.1434  1 H 1.67
H: 0.2388 0.5954 0.6771  1 H 1.67
H: 0.0616 0.1434 0.2388  1 H 1.67
H: 0.7612 0.3566 0.9384  1 H 1.67
H: 0.3229 0.9046 0.7612  1 H 1.67
H: 0.5818 0.6771 0.4384  1 H 1.67
H: 0.2612 0.8229 0.9046  1 H 1.67
H: 0.0616 0.9182 0.3229  1 H 1.67
Pa: 0.0000 0.5000 0.0000  6 H 2.16
Pa: 0.7500 0.1250 0.8750  4 H 2.23
Pa: 0.8750 0.2500 0.6250  4 H 2.23
Pa: 0.6250 0.8750 0.2500  4 H 2.23
Pa: 0.8750 0.6250 0.7500  4 H 2.23
Pa: 0.3750 0.2500 0.1250  4 H 2.23
Pa: 0.2500 0.8750 0.1250  4 H 2.23
Pa: 0.3750 0.1250 0.7500  4 H 2.23
Pa: 0.0000 0.0000 0.5000  6 H 2.16
Pa: 0.0000 0.5000 0.5000  6 H 2.16
Pa: 0.5000 0.0000 0.0000  6 H 2.16
Pa: 0.5000 0.5000 0.0000  6 H 2.16
Pa: 0.2500 0.3750 0.6250  4 H 2.23
Pa: 0.6250 0.7500 0.8750  4 H 2.23
Pa: 0.5000 0.5000 0.5000  6 H 2.16
Pa: 0.1250 0.3750 0.2500  4 H 2.23
Pa: 0.1250 0.7500 0.3750  4 H 2.23
Pa: 0.5000 0.0000 0.5000  6 H 2.16
Pa: 0.0000 0.0000 0.0000  6 H 2.16
Pa: 0.7500 0.6250 0.3750  4 H 2.23
W: 0.8750 0.1250 0.2500  8 H 1.94-2.12
W: 0.6250 0.3750 0.7500  8 H 1.94-2.12
W: 0.1250 0.8750 0.7500  8 H 1.94-2.12
W: 0.7500 0.8750 0.6250  8 H 1.94-2.12
W: 0.1250 0.2500 0.8750  8 H 1.94-2.12
W: 0.6250 0.2500 0.3750  8 H 1.94-2.12
W: 0.3750 0.7500 0.6250  8 H 1.94-2.12
W: 0.7500 0.3750 0.1250  8 H 1.94-2.12
W: 0.2500 0.1250 0.3750  8 H 1.94-2.12
W: 0.8750 0.7500 0.1250  8 H 1.94-2.12
W: 0.3750 0.6250 0.2500  8 H 1.94-2.12
W: 0.2500 0.6250 0.8750  8 H 1.94-2.12


(2)
A geometry-optimized Te2PbSe structure, computed with PBE.

Results
E_form (uncorrected), eV per formula unit: 0.11
Magnetization, μB/f.u.: 0.00

a = 4.3120 Å, b = 4.3120 Å, c = 8.4544 Å
α = 90.00°, β = 90.00°, γ = 119.97°
With the nearest neighbours (Å) after each atom.
Positions (direct):
Pb: 0.0000 0.0000 0.5293  2 Se 2.80
Te: 0.5000 0.5000 0.2270  2 Te 2.87
Te: 0.0000 0.0000 0.0027  2 Te 2.87, 2 Se 3.09
Se: 0.5000 0.5000 0.7409  2 Pb 2.80, 2 Te 3.09


(3)
A geometry-optimized Ba2LaTa structure, computed with PBE.

Results
Magnetization, μB/f.u.: 1.53
Offset from the most stable computed form, meV per atom: 318.3
ΔH_f (0 K), kcal/mol of atoms: 21.33

a = 5.0213 Å, b = 5.0213 Å, c = 5.6850 Å
α = 90.00°, β = 90.00°, γ = 90.00°
With the nearest neighbours (Å) after each atom.
Positions (direct):
Ba: 0.5000 0.5000 0.0000  4 Ba 3.55, 4 Ta 3.79, 4 La 3.79
Ba: 0.0000 0.0000 0.0000  4 Ba 3.55, 4 La 3.79, 4 Ta 3.79
Ta: 0.0000 0.5000 0.5000  4 La 3.55, 8 Ba 3.79
La: 0.5000 0.0000 0.5000  4 Ta 3.55, 8 Ba 3.79


no.,N(E_F) (states/eV per cell)
1,70.86
2,1.21
3,7.46